A plane-wave DFT calculation with GGA-PBE was carried out for crystalline TlCuAg2 at its relaxed geometry.

**Formation enthalpy at 0 K**: 0.18 eV per atom
**Magnetic moment**: 0.00 μB per formula unit
**SG**: Pm, No. 6

Unit cell a=3.582 b=3.294 c=7.117 alpha=63.71 beta=90.00 gamma=90.00
Sites, in units of the cell vectors:
Ag1 0.000 0.966 0.028
Ag2 0.500 0.232 0.270
Cu1 0.000 0.538 0.469
Tl1 0.500 0.763 0.733